VASP calculation (PBE) on crystalline HoZrInHg at its relaxed geometry.

Values from the calculation:
The space group is No. 216. Its total energy is -4.321 eV/atom. The density of states at the Fermi level comes out at 3.7 states/eV/cell.

Lattice parameters (Å, degrees): 5.1252 5.1252 5.1252 60.00 60.00 60.00
Sites, in units of the cell vectors:
Ho1 0.0000 0.0000 0.0000
Zr1 0.5000 0.5000 0.5000
In1 0.7500 0.7500 0.7500
Hg1 0.2500 0.2500 0.2500



VASP calculation (PBE) on crystalline Ho6HgIr2 at its relaxed geometry.

Values from the calculation:
The space group is No. 71. Its total energy is -5.655 eV/atom. The density of states at the Fermi level comes out at 17.1 states/eV/cell.

Lattice parameters (Å, degrees): 8.4423 8.4423 8.4423 113.11 111.29 104.15
Sites, in units of the cell vectors:
Ho1 0.0386 0.2401 0.7985
Ho2 0.1805 0.2839 0.4644
Ho3 0.1805 0.7161 0.8966
Ho4 0.3314 0.0234 0.6920
Ho5 0.3314 0.6394 0.3080
Ho6 0.4416 0.2401 0.2015
Ho7 0.5584 0.7599 0.7985
Ho8 0.6686 0.3606 0.6920
Ho9 0.6686 0.9766 0.3080
Ho10 0.8195 0.2839 0.1034
Ho11 0.8195 0.7161 0.5356
Ho12 0.9614 0.7599 0.2015
Hg1 0.0000 0.0000 0.0000
Hg2 0.5000 0.5000 0.0000
Ir1 0.1312 0.6312 0.5000
Ir2 0.3338 0.0000 0.3338
Ir3 0.6662 0.0000 0.6662
Ir4 0.8688 0.3688 0.5000



VASP calculation (PBE) on crystalline Ho6Hg5Ir at its relaxed geometry.

Values from the calculation:
The space group is No. 71. Its total energy is -3.721 eV/atom. The density of states at the Fermi level comes out at 7.2 states/eV/cell.

Lattice parameters (Å, degrees): 8.9180 8.9180 8.9180 146.59 130.87 60.72
Sites, in units of the cell vectors:
Ho1 0.0781 0.3440 0.7341
Ho2 0.2257 0.0000 0.2257
Ho3 0.3901 0.6560 0.7341
Ho4 0.6099 0.3440 0.2659
Ho5 0.7743 0.0000 0.7743
Ho6 0.9219 0.6560 0.2659
Hg1 0.1840 0.1840 0.0000
Hg2 0.3345 0.8345 0.5000
Hg3 0.5000 0.5000 0.0000
Hg4 0.6655 0.1655 0.5000
Hg5 0.8160 0.8160 0.0000
Ir1 0.0000 0.5000 0.5000



VASP calculation (PBE) on crystalline Ho4HgIr at its relaxed geometry.

Values from the calculation:
The space group is No. 216. Its total energy is -5.163 eV/atom. The density of states at the Fermi level comes out at 13.6 states/eV/cell.

Lattice parameters (Å, degrees): 9.5454 9.5454 9.5454 60.00 60.00 60.00
Sites, in units of the cell vectors:
Ho1 0.0599 0.0599 0.4401
Ho2 0.0599 0.4401 0.0599
Ho3 0.0599 0.4401 0.4401
Ho4 0.1882 0.1882 0.8118
Ho5 0.1882 0.8118 0.1882
Ho6 0.1882 0.8118 0.8118
Ho7 0.1964 0.6012 0.6012
Ho8 0.4401 0.0599 0.0599
Ho9 0.4401 0.0599 0.4401
Ho10 0.4401 0.4401 0.0599
Ho11 0.6012 0.1964 0.6012
Ho12 0.6012 0.6012 0.1964
Ho13 0.6012 0.6012 0.6012
Ho14 0.8118 0.1882 0.1882
Ho15 0.8118 0.1882 0.8118
Ho16 0.8118 0.8118 0.1882
Hg1 0.4955 0.8348 0.8348
Hg2 0.8348 0.4955 0.8348
Hg3 0.8348 0.8348 0.4955
Hg4 0.8348 0.8348 0.8348
Ir1 0.3923 0.3923 0.3923
Ir2 0.3923 0.3923 0.8232
Ir3 0.3923 0.8232 0.3923
Ir4 0.8232 0.3923 0.3923



What did the third record say?
VASP calculation (PBE) on crystalline Ho6Hg5Ir at its relaxed geometry.

Values from the calculation:
The space group is No. 71. Its total energy is -3.721 eV/atom. The density of states at the Fermi level comes out at 7.2 states/eV/cell.

Lattice parameters (Å, degrees): 8.9180 8.9180 8.9180 146.59 130.87 60.72
Sites, in units of the cell vectors:
Ho1 0.0781 0.3440 0.7341
Ho2 0.2257 0.0000 0.2257
Ho3 0.3901 0.6560 0.7341
Ho4 0.6099 0.3440 0.2659
Ho5 0.7743 0.0000 0.7743
Ho6 0.9219 0.6560 0.2659
Hg1 0.1840 0.1840 0.0000
Hg2 0.3345 0.8345 0.5000
Hg3 0.5000 0.5000 0.0000
Hg4 0.6655 0.1655 0.5000
Hg5 0.8160 0.8160 0.0000
Ir1 0.0000 0.5000 0.5000



Question: Which formula does entry 3 have?
Answer: Ho6Hg5Ir